No. 1
DFT (GGA-PBE) results for crystalline SrHf2BiI at its relaxed geometry.

raw formation energy = 0.74 eV/atom
calculated volume = 33.42 Å³ per atom
magnetic moment = 0.000 Bohr magnetons per cell

Lattice parameters (Å, degrees): 5.2803 5.2803 5.9935 90.00 90.00 90.00
Last column: nearest neighbours and their distance in Å.
Sites, in units of the cell vectors:
1 Sr 0.0000 0.0000 0.0000  2 I 3.00
2 Hf 0.0000 0.5000 0.5000  2 I 2.64
3 Hf 0.5000 0.0000 0.5000  2 I 2.64
4 Bi 0.5000 0.5000 0.0000  4 Sr 3.73, 8 Hf 3.99
5 I 0.0000 0.0000 0.5000  4 Hf 2.64

No. 2
DFT (GGA-PBE) results for crystalline HfZnBiI2 at its relaxed geometry.

raw formation energy = 0.07 eV/atom
calculated volume = 37.42 Å³ per atom
magnetic moment = 0.000 Bohr magnetons per cell

Lattice parameters (Å, degrees): 5.6692 5.6692 5.8214 90.00 90.00 90.00
Last column: nearest neighbours and their distance in Å.
Sites, in units of the cell vectors:
1 Hf 0.0000 0.0000 0.0000  4 I 2.83, 2 Bi 2.91
2 Zn 0.5000 0.5000 0.5000  4 Bi 4.01, 8 I 4.06
3 Bi 0.0000 0.0000 0.5000  2 Hf 2.91
4 I 0.0000 0.5000 0.0000  2 Hf 2.83
5 I 0.5000 0.0000 0.0000  2 Hf 2.83

No. 3
DFT (GGA-PBE) results for crystalline HfInBi at its relaxed geometry.

calculated volume = 26.25 Å³ per atom
magnetic moment = 0.002 Bohr magnetons per cell
energy relative to the elements = 0.0657 eV per atom
polymorph energy (0 for the lowest one) = 0.351 eV/f.u.

Lattice parameters (Å, degrees): 13.4672 4.0026 8.7664 90.00 90.00 90.00
Last column: nearest neighbours and their distance in Å.
Sites, in units of the cell vectors:
1 Hf 0.0972 0.0000 0.0949  2 In 3.01-3.17, 6 Bi 3.07-3.27, 1 Hf 3.10
2 Hf 0.2500 0.5000 0.5904  6 In 2.99-3.02, 3 Bi 3.14-3.22
3 Hf 0.4028 0.0000 0.0949  2 In 3.01-3.17, 6 Bi 3.07-3.27, 1 Hf 3.10
4 Hf 0.5972 0.0000 0.9051  2 In 3.01-3.17, 6 Bi 3.07-3.27, 1 Hf 3.10
5 Hf 0.7500 0.5000 0.4096  6 In 2.99-3.02, 3 Bi 3.14-3.22
6 Hf 0.9028 0.0000 0.9051  2 In 3.01-3.17, 6 Bi 3.07-3.27, 1 Hf 3.10
7 In 0.1061 0.0000 0.4568  1 In 2.96, 3 Hf 3.02-3.17
8 In 0.2500 0.0000 0.8440  4 Hf 2.99-3.01, 4 Bi 3.23
9 In 0.3939 0.0000 0.4568  1 In 2.96, 3 Hf 3.02-3.17
10 In 0.6061 0.0000 0.5432  1 In 2.96, 3 Hf 3.02-3.17
11 In 0.7500 0.0000 0.1560  4 Hf 2.99-3.01, 4 Bi 3.23
12 In 0.8939 0.0000 0.5432  1 In 2.96, 3 Hf 3.02-3.17
13 Bi 0.0633 0.5000 0.8045  5 Hf 3.07-3.27, 2 In 3.23
14 Bi 0.2500 0.5000 0.2227  5 Hf 3.08-3.22
15 Bi 0.4367 0.5000 0.8045  5 Hf 3.07-3.27, 2 In 3.23
16 Bi 0.5633 0.5000 0.1955  5 Hf 3.07-3.27, 2 In 3.23
17 Bi 0.7500 0.5000 0.7773  5 Hf 3.08-3.22
18 Bi 0.9367 0.5000 0.1955  5 Hf 3.07-3.27, 2 In 3.23

No. 4
DFT (GGA-PBE) results for crystalline Hf2InBi at its relaxed geometry.

calculated volume = 23.26 Å³ per atom
magnetic moment = 0.000 Bohr magnetons per cell
energy relative to the elements = 0.0187 eV per atom
polymorph energy (0 for the lowest one) = 0.035 eV/f.u.

Lattice parameters (Å, degrees): 3.7971 3.7971 6.4540 90.00 90.00 90.00
Last column: nearest neighbours and their distance in Å.
Sites, in units of the cell vectors:
1 Hf 0.0000 0.0000 0.2440  4 In 3.11, 2 Hf 3.15-3.30, 4 Bi 3.15
2 Hf 0.0000 0.0000 0.7560  4 In 3.11, 2 Hf 3.15-3.30, 4 Bi 3.15
3 In 0.5000 0.5000 0.0000  8 Hf 3.11, 2 Bi 3.23
4 Bi 0.5000 0.5000 0.5000  8 Hf 3.15, 2 In 3.23

No. 5
DFT (GGA-PBE) results for crystalline Hf6InBi at its relaxed geometry.

calculated volume = 22.60 Å³ per atom
magnetic moment = 0.000 Bohr magnetons per cell
energy relative to the elements = -0.0327 eV per atom
polymorph energy (0 for the lowest one) = 0.189 eV/f.u.

Lattice parameters (Å, degrees): 5.1697 6.3124 6.3124 61.36 90.00 90.00
Last column: nearest neighbours and their distance in Å.
Sites, in units of the cell vectors:
1 Hf 0.0000 0.0000 0.0000  10 Hf 3.09-3.22, 2 Bi 3.31
2 Hf 0.0000 0.0082 0.4852  8 Hf 3.07-3.37, 2 In 3.12, 2 Bi 3.16
3 Hf 0.0000 0.4852 0.0082  8 Hf 3.07-3.37, 2 In 3.12, 2 Bi 3.16
4 Hf 0.0000 0.4953 0.4953  10 Hf 3.11-3.22, 2 In 3.20
5 Hf 0.5000 0.3023 0.8205  8 Hf 3.09-3.34, 2 In 3.09-3.22, 2 Bi 3.14-3.17
6 Hf 0.5000 0.8205 0.3023  8 Hf 3.09-3.34, 2 In 3.09-3.22, 2 Bi 3.14-3.17
7 In 0.5000 0.3218 0.3218  10 Hf 3.09-3.22, 2 Bi 3.22
8 Bi 0.5000 0.8099 0.8099  10 Hf 3.14-3.31, 2 In 3.22

No. 6
DFT (GGA-PBE) results for crystalline HfIn2Bi2 at its relaxed geometry.

calculated volume = 29.18 Å³ per atom
magnetic moment = 0.000 Bohr magnetons per cell
energy relative to the elements = 0.2249 eV per atom

Lattice parameters (Å, degrees): 7.7950 7.7950 4.8027 90.00 90.00 90.00
Last column: nearest neighbours and their distance in Å.
Sites, in units of the cell vectors:
1 Hf 0.0000 0.0000 0.0000  4 Bi 2.97
2 Hf 0.5000 0.5000 0.0000  4 Bi 2.97
3 In 0.1647 0.3353 0.5000  6 Bi 3.16-3.43
4 In 0.3353 0.8353 0.5000  6 Bi 3.16-3.43
5 In 0.6647 0.1647 0.5000  6 Bi 3.16-3.43
6 In 0.8353 0.6647 0.5000  6 Bi 3.16-3.43
7 Bi 0.1496 0.6496 0.0000  2 Hf 2.97, 2 In 3.16, 1 Bi 3.30
8 Bi 0.3504 0.1496 0.0000  2 Hf 2.97, 2 In 3.16, 1 Bi 3.30
9 Bi 0.6496 0.8504 0.0000  2 Hf 2.97, 2 In 3.16, 1 Bi 3.30
10 Bi 0.8504 0.3504 0.0000  2 Hf 2.97, 2 In 3.16, 1 Bi 3.30

No. 7
DFT (GGA-PBE) results for crystalline Hf2InBi2 at its relaxed geometry.

calculated volume = 26.54 Å³ per atom
magnetic moment = 0.000 Bohr magnetons per cell
energy relative to the elements = 0.1608 eV per atom
polymorph energy (0 for the lowest one) = 1.033 eV/f.u.

Lattice parameters (Å, degrees): 8.4503 8.4503 3.7165 90.00 90.00 90.00
Last column: nearest neighbours and their distance in Å.
Sites, in units of the cell vectors:
1 Hf 0.1324 0.3676 0.0000  6 Bi 3.07-3.14, 1 Hf 3.16
2 Hf 0.3676 0.8676 0.0000  6 Bi 3.07-3.14, 1 Hf 3.16
3 Hf 0.6324 0.1324 0.0000  6 Bi 3.07-3.14, 1 Hf 3.16
4 Hf 0.8676 0.6324 0.0000  6 Bi 3.07-3.14, 1 Hf 3.16
5 In 0.0000 0.0000 0.5000  4 Bi 3.19
6 In 0.5000 0.5000 0.5000  4 Bi 3.19
7 Bi 0.1555 0.6555 0.5000  6 Hf 3.07-3.14, 2 In 3.19
8 Bi 0.3445 0.1555 0.5000  6 Hf 3.07-3.14, 2 In 3.19
9 Bi 0.6555 0.8445 0.5000  6 Hf 3.07-3.14, 2 In 3.19
10 Bi 0.8445 0.3445 0.5000  6 Hf 3.07-3.14, 2 In 3.19

No. 8
DFT (GGA-PBE) results for crystalline HfInBi2 at its relaxed geometry.

calculated volume = 40.40 Å³ per atom
magnetic moment = 0.000 Bohr magnetons per cell
energy relative to the elements = 0.3233 eV per atom

Lattice parameters (Å, degrees): 8.3572 8.3572 8.3572 131.22 131.22 71.46
Last column: nearest neighbours and their distance in Å.
Sites, in units of the cell vectors:
1 Hf 0.0000 0.0000 0.0000  4 Bi 2.88
2 Hf 0.7500 0.2500 0.5000  4 Bi 2.88
3 In 0.2500 0.7500 0.5000  4 Bi 3.07
4 In 0.5000 0.5000 0.0000  4 Bi 3.07
5 Bi 0.1003 0.6250 0.9753  2 Hf 2.88, 2 In 3.07
6 Bi 0.3750 0.3503 0.4753  2 Hf 2.88, 2 In 3.07
7 Bi 0.6497 0.1250 0.0247  2 Hf 2.88, 2 In 3.07
8 Bi 0.8750 0.8997 0.5247  2 Hf 2.88, 2 In 3.07

Number 1: total energy -0.1712 hartree per atom. Number 2: total energy -0.1314 hartree per atom. Number 3: total energy -0.2006 hartree per atom. Number 4: total energy -0.2430 hartree per atom. Number 5: total energy -0.3059 hartree per atom. Number 6: total energy -0.1622 hartree per atom. Number 7: total energy -0.2176 hartree per atom. Number 8: total energy -0.1760 hartree per atom.